No. 1
# Pm2NiH6Rh PBE optimized geometry
data_Pm2NiH6Rh
_cell_length_a 5.213
_cell_length_b 5.213
_cell_length_c 5.176
_cell_angle_alpha 120.22
_cell_angle_beta 120.22
_cell_angle_gamma 90.13
_space_group_name_H-M_alt 'P 1'
_space_group_IT_number 1
_space_group_name_Hall 'P 1'
loop_
_atom_site_label
_atom_site_fract_x
_atom_site_fract_y
_atom_site_fract_z
H1 0.756 0.757 0.512
H2 0.243 0.244 0.000
H3 0.243 0.757 0.000
H4 0.757 0.244 0.000
H5 0.757 0.757 0.000
H6 0.244 0.244 0.487
Pm1 0.750 0.250 0.500
Pm2 0.250 0.750 0.500
Rh1 0.500 0.500 0.000
Ni1 0.000 0.000 0.000
# SG = Fmmm, No. 69
# calculated total energy = -4.793 eV per atom

=====

No. 2
# Pm2NiH6Ru PBE optimized geometry
data_Pm2NiH6Ru
_cell_length_a 5.196
_cell_length_b 5.196
_cell_length_c 5.177
_cell_angle_alpha 119.92
_cell_angle_beta 119.92
_cell_angle_gamma 90.27
_space_group_name_H-M_alt 'P 1'
_space_group_IT_number 1
_space_group_name_Hall 'P 1'
loop_
_atom_site_label
_atom_site_fract_x
_atom_site_fract_y
_atom_site_fract_z
H1 0.749 0.750 0.999
H2 0.749 0.251 0.000
H3 0.251 0.749 0.000
H4 0.749 0.750 0.499
H5 0.250 0.251 0.500
H6 0.250 0.251 0.000
Pm1 0.750 0.250 0.500
Pm2 0.250 0.750 0.500
Ru1 0.500 0.500 0.000
Ni1 0.000 0.000 0.000
# SG = Fmmm, No. 69
# calculated total energy = -4.937 eV per atom

=====

No. 3
# PmNiH6Ru PBE optimized geometry
data_PmNiH6Ru
_cell_length_a 4.579
_cell_length_b 4.579
_cell_length_c 4.308
_cell_angle_alpha 90.00
_cell_angle_beta 90.00
_cell_angle_gamma 60.00
_space_group_name_H-M_alt 'P 1'
_space_group_IT_number 1
_space_group_name_Hall 'P 1'
loop_
_atom_site_label
_atom_site_fract_x
_atom_site_fract_y
_atom_site_fract_z
H1 0.501 0.999 0.241
H2 0.999 0.500 0.241
H3 0.501 0.500 0.759
H4 0.500 0.999 0.759
H5 0.999 0.501 0.759
H6 0.500 0.501 0.241
Ni1 0.667 0.667 0.500
Pm1 0.000 0.000 0.000
Ru1 0.333 0.333 0.500
# SG = P-6m2, No. 187
# calculated total energy = -4.711 eV per atom

=====

No. 4
# PmNiSbH PBE optimized geometry
data_PmNiSbH
_cell_length_a 4.574
_cell_length_b 4.574
_cell_length_c 4.574
_cell_angle_alpha 60.00
_cell_angle_beta 60.00
_cell_angle_gamma 60.00
_space_group_name_H-M_alt 'P 1'
_space_group_IT_number 1
_space_group_name_Hall 'P 1'
loop_
_atom_site_label
_atom_site_fract_x
_atom_site_fract_y
_atom_site_fract_z
H1 0.250 0.250 0.250
Ni1 0.750 0.750 0.750
Pm1 0.000 0.000 0.000
Sb1 0.500 0.500 0.500
# energy relative to the lowest polymorph listed for this composition = 432 meV/atom
# SG = F-43m, No. 216
# calculated total energy = -4.829 eV per atom

=====

No. 5
# PmNiSbH PBE optimized geometry
data_PmNiSbH
_cell_length_a 4.326
_cell_length_b 4.326
_cell_length_c 4.253
_cell_angle_alpha 90.00
_cell_angle_beta 90.00
_cell_angle_gamma 120.00
_space_group_name_H-M_alt 'P 1'
_space_group_IT_number 1
_space_group_name_Hall 'P 1'
loop_
_atom_site_label
_atom_site_fract_x
_atom_site_fract_y
_atom_site_fract_z
H1 0.239 0.477 0.256
Sb1 0.905 0.810 0.793
Pm1 0.572 0.144 0.306
Ni1 0.239 0.477 0.885
# energy relative to the lowest polymorph listed for this composition = 0 meV/atom
# SG = P3m1, No. 156
# calculated total energy = -5.261 eV per atom

=====

No. 6
# PmScNi2H6 PBE optimized geometry
data_PmScNi2H6
_cell_length_a 4.444
_cell_length_b 4.444
_cell_length_c 6.007
_cell_angle_alpha 68.29
_cell_angle_beta 68.29
_cell_angle_gamma 60.00
_space_group_name_H-M_alt 'P 1'
_space_group_IT_number 1
_space_group_name_Hall 'P 1'
loop_
_atom_site_label
_atom_site_fract_x
_atom_site_fract_y
_atom_site_fract_z
H1 0.072 0.563 0.802
H2 0.563 0.072 0.802
H3 0.437 0.437 0.198
H4 0.563 0.563 0.802
H5 0.928 0.437 0.198
H6 0.437 0.928 0.198
Ni1 0.212 0.212 0.365
Ni2 0.788 0.788 0.635
Sc1 0.500 0.500 0.500
Pm1 0.000 0.000 0.000
# SG = R-3m, No. 166
# calculated total energy = -4.697 eV per atom

=====

No. 7
# Pm2SiNiH PBE optimized geometry
data_Pm2SiNiH
_cell_length_a 4.042
_cell_length_b 6.083
_cell_length_c 8.091
_cell_angle_alpha 107.55
_cell_angle_beta 90.00
_cell_angle_gamma 90.00
_space_group_name_H-M_alt 'P 1'
_space_group_IT_number 1
_space_group_name_Hall 'P 1'
loop_
_atom_site_label
_atom_site_fract_x
_atom_site_fract_y
_atom_site_fract_z
H1 0.250 0.831 0.829
H2 0.750 0.169 0.171
Pm1 0.250 0.220 0.410
Pm2 0.750 0.780 0.590
Pm3 0.250 0.244 0.965
Pm4 0.750 0.756 0.035
Ni1 0.250 0.552 0.758
Ni2 0.750 0.448 0.242
Si1 0.750 0.331 0.706
Si2 0.250 0.669 0.294
# SG = P2_1/m, No. 11
# calculated total energy = -5.416 eV per atom

=====

No. 8
# Pm2SiNi6H PBE optimized geometry
data_Pm2SiNi6H
_cell_length_a 5.322
_cell_length_b 6.400
_cell_length_c 5.328
_cell_angle_alpha 65.31
_cell_angle_beta 60.03
_cell_angle_gamma 89.99
_space_group_name_H-M_alt 'P 1'
_space_group_IT_number 1
_space_group_name_Hall 'P 1'
loop_
_atom_site_label
_atom_site_fract_x
_atom_site_fract_y
_atom_site_fract_z
Ni1 0.785 0.328 0.944
Ni2 0.271 0.330 0.458
Ni3 0.215 0.672 0.056
Ni4 0.729 0.670 0.542
Ni5 0.729 0.672 0.056
Ni6 0.271 0.328 0.944
Si1 0.000 0.000 0.000
Pm1 0.721 0.163 0.558
Pm2 0.279 0.837 0.442
H1 0.500 0.500 0.000
# SG = C2/m, No. 12
# calculated total energy = -5.697 eV per atom

=====

- The lowest calculated total energy belongs to which entry?
  Pm2SiNi6H